No. 1
PmDyIn4 (GGA-PBE, optimized geometry); total DFT energy (no corrections) = -0.140 hartree per atom; energy of formation from the pure elements = -422 meV/atom; calculated volume = 26.09 Å³/atom; ΔE to the lowest computed polymorph = 0.000 eV per atom
1.0
4.6179 0.0000 1.9793
2.0202 5.5892 1.6633
0.0931 0.3738 6.1594
In Pm Dy
4 1 1
Direct
0.1666 0.5976 0.0692
0.8334 0.9292 0.4040
0.8334 0.4040 0.9292
0.1666 0.0692 0.5976
0.5007 0.4993 0.4993
0.4992 0.0008 0.0008

=====

No. 2
Pm2Dy9In (GGA-PBE, optimized geometry); total DFT energy (no corrections) = -0.167 hartree per atom; energy of formation from the pure elements = -63 meV/atom; calculated volume = 30.96 Å³/atom
1.0
-2.7874 1.3268 -3.8785
-1.1920 -4.7499 -0.7682
-11.9637 1.5273 9.1205
In Dy Pm
1 9 2
Direct
0.0000 0.0000 0.0000
0.5000 0.5000 0.0000
0.5000 0.0000 0.5000
0.5000 0.0000 0.8400
0.0000 0.5000 0.8400
0.0000 0.5000 0.1600
0.5000 0.0000 0.1600
0.0000 0.5000 0.5000
0.5000 0.5000 0.3272
0.5000 0.5000 0.6728
0.0000 0.0000 0.3320
0.0000 0.0000 0.6680

=====

No. 3
Pm5Dy2In5 (GGA-PBE, optimized geometry); total DFT energy (no corrections) = -0.154 hartree per atom; energy of formation from the pure elements = -316 meV/atom; calculated volume = 29.40 Å³/atom
1.0
-0.7892 -0.2462 5.1897
-2.6589 -4.8311 -3.2942
11.7417 -2.6617 1.6593
Pm In Dy
5 5 2
Direct
0.6549 0.3099 0.0001
0.5000 0.0000 0.5000
0.3648 0.7296 0.7259
0.6352 0.2704 0.2741
0.3451 0.6901 0.9999
0.7288 0.4575 0.7692
0.8283 0.6566 0.5387
0.2712 0.5425 0.2308
0.0000 0.0000 0.0000
0.1717 0.3434 0.4613
0.9295 0.8591 0.2424
0.0705 0.1409 0.7576

=====

No. 4
PmDy3In3 (GGA-PBE, optimized geometry); total DFT energy (no corrections) = -0.154 hartree per atom; energy of formation from the pure elements = -357 meV/atom; calculated volume = 28.42 Å³/atom; ΔE to the lowest computed polymorph = 0.000 eV per atom
1.0
5.1662 0.0000 0.0000
0.0000 9.4311 0.0000
0.0000 -4.7155 8.1676
In Pm Dy
6 2 6
Direct
0.7500 0.4526 0.0693
0.7500 0.6167 0.5474
0.2500 0.0693 0.6167
0.2500 0.5474 0.9307
0.7500 0.9307 0.3833
0.2500 0.3833 0.4526
0.2500 0.6667 0.3333
0.7500 0.3333 0.6667
0.2500 0.2325 0.0000
0.2500 0.7675 0.7675
0.7500 0.7675 0.0000
0.2500 0.0000 0.2325
0.7500 0.2325 0.2325
0.7500 0.0000 0.7675

=====

No. 5
Pm2Dy3In7 (GGA-PBE, optimized geometry); total DFT energy (no corrections) = -0.138 hartree per atom; energy of formation from the pure elements = -213 meV/atom; calculated volume = 29.56 Å³/atom
1.0
-3.0191 4.3853 0.4654
-1.3021 -0.3654 -5.0034
-9.4147 -7.0814 5.6517
In Dy Pm
7 3 2
Direct
0.0000 0.7226 0.4452
0.0000 0.4290 0.8579
0.0000 0.5710 0.1421
0.5000 0.9246 0.8493
0.0000 0.0000 0.0000
0.5000 0.0754 0.1507
0.0000 0.2774 0.5548
0.5000 0.5000 0.0000
0.5000 0.6499 0.2999
0.5000 0.3501 0.7001
0.0000 0.1468 0.2936
0.0000 0.8532 0.7064

=====

No. 6
Pm6Dy3In (GGA-PBE, optimized geometry); total DFT energy (no corrections) = -0.161 hartree per atom; energy of formation from the pure elements = 120 meV/atom; calculated volume = 33.90 Å³/atom; ΔE to the lowest computed polymorph = 0.131 eV per atom
1.0
3.4485 0.0000 -0.8549
0.0001 8.8021 0.0000
-1.7961 0.0000 22.7800
Dy Pm In
6 12 2
Direct
0.9584 0.6374 0.7268
0.4586 0.8626 0.2270
0.5414 0.1374 0.7730
0.5000 0.5000 0.0000
0.0000 0.0000 0.5000
0.0416 0.3626 0.2732
0.1851 0.7027 0.5919
0.7489 0.6574 0.3760
0.3148 0.2026 0.9080
0.6852 0.7974 0.0920
0.8149 0.2973 0.4081
0.7016 0.4980 0.8520
0.7513 0.1574 0.1241
0.2511 0.3426 0.6240
0.2984 0.5020 0.1480
0.2017 0.0020 0.3521
0.2487 0.8426 0.8759
0.7983 0.9980 0.6479
0.5000 0.5000 0.5000
0.0000 0.0000 0.0000

=====

No. 7
PmDy2In2 (GGA-PBE, optimized geometry); total DFT energy (no corrections) = -0.145 hartree per atom; energy of formation from the pure elements = -54 meV/atom; calculated volume = 29.90 Å³/atom; ΔE to the lowest computed polymorph = 0.319 eV per atom
1.0
-4.7486 -1.6884 1.2021
3.0812 -2.8673 -3.0215
4.7286 -5.8877 10.4091
Dy Pm In
4 2 4
Direct
0.0000 0.0000 0.0000
0.6667 0.3333 0.7500
0.3333 0.6667 0.2500
0.0000 0.0000 0.5000
0.0000 0.0000 0.7500
0.0000 0.0000 0.2500
0.3333 0.6667 0.8700
0.6667 0.3333 0.3700
0.6667 0.3333 0.1300
0.3333 0.6667 0.6300

=====

No. 8
PmDyIn2 (GGA-PBE, optimized geometry); total DFT energy (no corrections) = -0.154 hartree per atom; energy of formation from the pure elements = -484 meV/atom; calculated volume = 27.51 Å³/atom
1.0
-0.7310 3.7325 0.0995
-0.4276 -0.1844 3.7761
7.4115 1.4272 0.9090
In Dy Pm
2 1 1
Direct
0.0000 0.0000 0.7596
0.0000 0.0000 0.2404
0.5000 0.5000 0.0000
0.5000 0.5000 0.5000

=====

No. 9
Pm5Dy8In (GGA-PBE, optimized geometry); total DFT energy (no corrections) = -0.163 hartree per atom; energy of formation from the pure elements = 96 meV/atom; calculated volume = 32.99 Å³/atom
1.0
7.7317 1.6691 -3.5989
-2.6293 7.7151 -3.5361
-0.9062 -1.6691 8.4800
In Dy Pm
1 8 5
Direct
0.2152 0.5000 0.7152
0.4259 0.4243 0.4818
0.9608 0.0683 0.6488
0.5805 0.9317 0.8925
0.1273 0.7146 0.4912
0.7767 0.2854 0.4127
0.6778 0.6795 0.1021
0.4226 0.3205 0.9983
0.0575 0.5757 0.0016
0.8850 0.2777 0.0631
0.2681 0.9564 0.0257
0.0693 0.0436 0.3118
0.4978 0.0000 0.4978
0.7854 0.7223 0.6073

=====

No. 10
Pm3Dy4In (GGA-PBE, optimized geometry); total DFT energy (no corrections) = -0.167 hartree per atom; energy of formation from the pure elements = -111 meV/atom; calculated volume = 31.23 Å³/atom; ΔE to the lowest computed polymorph = 0.000 eV per atom
1.0
-0.3319 -4.6497 -4.1271
0.4045 -4.7247 5.2904
-11.2607 0.0221 0.8807
In Dy Pm
2 8 6
Direct
0.6511 0.6347 0.5000
0.1511 0.3653 0.0000
0.4900 0.8754 0.2614
0.6669 0.1224 0.5000
0.9900 0.1246 0.7614
0.9900 0.1246 0.2386
0.1669 0.8776 0.0000
0.4900 0.8754 0.7386
0.6441 0.1296 0.0000
0.1441 0.8704 0.5000
0.9723 0.6157 0.7608
0.1285 0.3724 0.5000
0.9723 0.6157 0.2392
0.6285 0.6276 0.0000
0.4723 0.3843 0.2608
0.4723 0.3843 0.7392

=====

No. 11
Pm12Dy2In (GGA-PBE, optimized geometry); total DFT energy (no corrections) = -0.160 hartree per atom; energy of formation from the pure elements = 236 meV/atom; calculated volume = 35.32 Å³/atom
1.0
-0.4409 4.1753 5.1982
-5.0340 -3.6244 2.4842
15.5262 -13.3259 12.0205
Pm Dy In
24 4 2
Direct
0.5000 0.5000 0.8001
0.6665 0.8335 0.5656
0.1665 0.6665 0.5656
0.8335 0.3335 0.5656
0.7536 0.2536 0.0924
0.7536 0.7464 0.9076
0.0000 0.0000 0.1999
0.8335 0.6665 0.4344
0.0000 0.0000 0.8001
0.2536 0.2464 0.0924
0.1665 0.3335 0.4344
0.6665 0.1665 0.4344
0.5000 0.5000 0.1999
0.2464 0.7464 0.0924
0.0000 0.0000 0.6723
0.7464 0.7536 0.0924
0.3335 0.8335 0.4344
0.5000 0.5000 0.3277
0.3335 0.1665 0.5656
0.2536 0.7536 0.9076
0.2464 0.2536 0.9076
0.5000 0.5000 0.6723
0.7464 0.2464 0.9076
0.0000 0.0000 0.3277
0.0000 0.5000 0.7506
0.0000 0.5000 0.2494
0.5000 0.0000 0.2494
0.5000 0.0000 0.7506
0.0000 0.5000 0.0000
0.5000 0.0000 0.0000

=====

No. 12
Pm2Dy3In4 (GGA-PBE, optimized geometry); total DFT energy (no corrections) = -0.151 hartree per atom; energy of formation from the pure elements = -294 meV/atom; calculated volume = 29.84 Å³/atom; ΔE to the lowest computed polymorph = 0.114 eV per atom
1.0
-1.6481 -3.9389 5.6462
6.4930 -5.9781 -2.2751
6.3363 6.2165 1.7487
In Pm Dy
8 4 6
Direct
0.2158 0.7500 0.9316
0.2842 0.2500 0.0684
0.3165 0.4608 0.6330
0.1835 0.9608 0.3670
0.7842 0.2500 0.0684
0.8165 0.0392 0.6330
0.7158 0.7500 0.9316
0.6835 0.5392 0.3670
0.8911 0.4233 0.7822
0.1089 0.5767 0.2178
0.3911 0.0767 0.7822
0.6089 0.9233 0.2178
0.4683 0.2500 0.4365
0.9683 0.2500 0.4365
0.5317 0.7500 0.5635
0.0317 0.7500 0.5635
0.0000 0.0000 0.0000
0.5000 0.5000 0.0000

=====

No. 13
Pm5DyIn4 (GGA-PBE, optimized geometry); total DFT energy (no corrections) = -0.158 hartree per atom; energy of formation from the pure elements = -378 meV/atom; calculated volume = 29.46 Å³/atom
1.0
-1.5247 2.2721 -2.3382
-3.0249 -0.0229 1.9503
7.6848 17.6352 12.1260
In Pm Dy
4 5 1
Direct
0.0000 0.0000 0.2105
0.0000 0.0000 0.5966
0.0000 0.0000 0.4034
0.0000 0.0000 0.7895
0.5000 0.5000 0.3070
0.5000 0.5000 0.6930
0.5000 0.5000 0.1148
0.5000 0.5000 0.8852
0.5000 0.5000 0.5000
0.0000 0.0000 0.0000

=====

No. 14
PmDy15In4 (GGA-PBE, optimized geometry); total DFT energy (no corrections) = -0.163 hartree per atom; energy of formation from the pure elements = -200 meV/atom; calculated volume = 29.15 Å³/atom
1.0
4.8553 0.0000 0.0000
0.0000 4.8553 0.0000
0.0000 0.0000 24.7324
Dy In Pm
15 4 1
Direct
0.0000 0.5000 0.8936
0.5000 0.0000 0.6962
0.5000 0.0000 0.8936
0.0000 0.5000 0.1064
0.5000 0.0000 0.3038
0.0000 0.5000 0.6962
0.5000 0.0000 0.1064
0.5000 0.0000 0.5000
0.0000 0.5000 0.3038
0.5000 0.5000 0.7939
0.0000 0.5000 0.5000
0.5000 0.5000 0.2061
0.5000 0.5000 0.0000
0.5000 0.5000 0.4022
0.5000 0.5000 0.5978
0.0000 0.0000 0.7931
0.0000 0.0000 0.2069
0.0000 0.0000 0.5977
0.0000 0.0000 0.4023
0.0000 0.0000 0.0000

=====

No. 15
PmDy2In (GGA-PBE, optimized geometry); total DFT energy (no corrections) = -0.162 hartree per atom; energy of formation from the pure elements = -237 meV/atom; calculated volume = 30.02 Å³/atom; ΔE to the lowest computed polymorph = 0.029 eV per atom
1.0
3.6064 0.0000 0.0000
0.0000 3.6064 0.0000
0.0000 0.0000 9.2332
In Dy Pm
1 2 1
Direct
0.5000 0.5000 0.0000
0.0000 0.0000 0.2231
0.0000 0.0000 0.7769
0.5000 0.5000 0.5000

=====

No. 16
Pm3Dy8In (GGA-PBE, optimized geometry); total DFT energy (no corrections) = -0.147 hartree per atom; energy of formation from the pure elements = 497 meV/atom; calculated volume = 35.14 Å³/atom
1.0
-2.9884 0.4348 7.7477
4.7077 -6.5839 -1.9068
5.7345 5.6075 -2.1949
In Dy Pm
1 8 3
Direct
0.0000 0.0000 0.0000
0.0000 0.8739 0.6218
0.0000 0.2390 0.7366
0.7480 0.1261 0.1261
0.4976 0.7610 0.7610
0.0000 0.6218 0.8739
0.5024 0.2634 0.2634
0.0000 0.7366 0.2390
0.2520 0.3782 0.3782
0.5000 0.2500 0.7500
0.5000 0.7500 0.2500
0.0000 0.5000 0.5000

=====

No. 17
PmDy4In (GGA-PBE, optimized geometry); total DFT energy (no corrections) = -0.163 hartree per atom; energy of formation from the pure elements = -129 meV/atom; calculated volume = 30.34 Å³/atom; ΔE to the lowest computed polymorph = 0.019 eV per atom
1.0
5.4064 -1.0545 0.0000
-3.5644 10.5250 0.0000
0.0000 0.0000 6.8507
Dy Pm In
8 2 2
Direct
0.0071 0.7566 0.0044
0.6697 0.9192 0.2500
0.9929 0.2434 0.5044
0.0071 0.7566 0.4956
0.9929 0.2434 0.9956
0.6389 0.3893 0.2500
0.3303 0.0808 0.7500
0.3611 0.6107 0.7500
0.3226 0.5726 0.2500
0.6774 0.4274 0.7500
0.3201 0.0695 0.2500
0.6799 0.9305 0.7500

=====

No. 18
Pm3Dy3In (GGA-PBE, optimized geometry); total DFT energy (no corrections) = -0.162 hartree per atom; energy of formation from the pure elements = -21 meV/atom; calculated volume = 32.14 Å³/atom; ΔE to the lowest computed polymorph = 0.091 eV per atom
1.0
5.2285 0.0000 0.0000
0.0000 13.4637 0.0000
0.0000 0.0000 12.7831
Dy Pm In
12 12 4
Direct
0.2500 0.2743 0.9383
0.7500 0.4809 0.5673
0.2500 0.5545 0.9290
0.2500 0.7743 0.5617
0.7500 0.2257 0.4383
0.7500 0.9455 0.4290
0.2500 0.0545 0.5710
0.7500 0.9809 0.9327
0.2500 0.5191 0.4327
0.7500 0.4455 0.0710
0.2500 0.0191 0.0673
0.7500 0.7257 0.0617
0.7500 0.1877 0.1205
0.2500 0.3224 0.2290
0.2500 0.8123 0.8795
0.7500 0.9119 0.6908
0.7500 0.1776 0.7290
0.7500 0.6776 0.7710
0.2500 0.0881 0.3092
0.2500 0.3123 0.6205
0.7500 0.4119 0.8092
0.7500 0.6877 0.3795
0.2500 0.8224 0.2710
0.2500 0.5881 0.1908
0.7500 0.9470 0.1831
0.2500 0.5530 0.6831
0.2500 0.0530 0.8169
0.7500 0.4470 0.3169

=====

No. 19
PmDyIn (GGA-PBE, optimized geometry); total DFT energy (no corrections) = -0.159 hartree per atom; energy of formation from the pure elements = -301 meV/atom; calculated volume = 29.86 Å³/atom; ΔE to the lowest computed polymorph = 0.046 eV per atom
1.0
3.5920 0.0000 0.0000
0.0000 3.5920 0.0000
-1.7960 -1.7960 6.9430
Pm In Dy
1 1 1
Direct
0.2727 0.2727 0.5455
0.6132 0.6132 0.2265
0.9640 0.9640 0.9280